Record 1
An optimized crystal structure of Li2TmBiTe4. Source: Alexandria via LeMat-Bulk, functional PBE.

Values from the calculation:
magnetic moment	0.000	μB/f.u.
raw formation energy	-0.888	eV/atom
space-group type	P2/m, No. 10
volume	233.6	Å³ per cell

The structure in CIF format:
```
data_Li2TmBiTe4
_chemical_formula_sum 'Li2 Tm1 Bi1 Te4'
_symmetry_space_group_name_H-M 'P 1'
_symmetry_Int_Tables_number 1
_symmetry_space_group_name_Hall 'P 1'
_cell_length_a 7.503
_cell_length_b 4.361
_cell_length_c 7.584
_cell_angle_alpha 90.00
_cell_angle_beta 109.71
_cell_angle_gamma 90.00
loop_
_atom_site_label
_atom_site_type_symbol
_atom_site_fract_x
_atom_site_fract_y
_atom_site_fract_z
_atom_site_occupancy
Li1 Li 0.000 0.000 0.000 1
Li2 Li 0.000 0.500 0.500 1
Tm1 Tm 0.500 0.000 0.500 1
Bi1 Bi 0.500 0.500 0.000 1
Te1 Te 0.240 0.000 0.739 1
Te2 Te 0.246 0.500 0.254 1
Te3 Te 0.754 0.500 0.746 1
Te4 Te 0.760 0.000 0.261 1
```



Record 2
An optimized crystal structure of Li2YBiTe4. Source: Alexandria via LeMat-Bulk, functional PBE.

Values from the calculation:
magnetic moment	0.000	μB/f.u.
raw formation energy	-0.906	eV/atom
space-group type	P2/m, No. 10
volume	236.1	Å³ per cell

The structure in CIF format:
```
data_Li2YBiTe4
_chemical_formula_sum 'Li2 Y1 Bi1 Te4'
_symmetry_space_group_name_H-M 'P 1'
_symmetry_Int_Tables_number 1
_symmetry_space_group_name_Hall 'P 1'
_cell_length_a 7.510
_cell_length_b 4.385
_cell_length_c 7.617
_cell_angle_alpha 90.00
_cell_angle_beta 109.75
_cell_angle_gamma 90.00
loop_
_atom_site_label
_atom_site_type_symbol
_atom_site_fract_x
_atom_site_fract_y
_atom_site_fract_z
_atom_site_occupancy
Li1 Li 0.000 0.000 0.000 1
Li2 Li 0.000 0.500 0.500 1
Y1 Y 0.500 0.000 0.500 1
Bi1 Bi 0.500 0.500 0.000 1
Te1 Te 0.238 0.000 0.742 1
Te2 Te 0.243 0.500 0.251 1
Te3 Te 0.757 0.500 0.749 1
Te4 Te 0.762 0.000 0.258 1
```



Record 3
An optimized crystal structure of LiThBi3. Source: Alexandria via LeMat-Bulk, functional PBE.

Values from the calculation:
magnetic moment	0.000	μB/f.u.
DFT formation energy	-0.42	eV per atom
DOS at the Fermi energy	8.8	states/eV/cell
space-group type	Pbcm, No. 57
volume	579.5	Å³ per cell

The structure in CIF format:
```
data_LiThBi3
_chemical_formula_sum 'Li4 Th4 Bi12'
_symmetry_space_group_name_H-M 'P 1'
_symmetry_Int_Tables_number 1
_symmetry_space_group_name_Hall 'P 1'
_cell_length_a 13.920
_cell_length_b 6.415
_cell_length_c 6.490
_cell_angle_alpha 90.00
_cell_angle_beta 90.00
_cell_angle_gamma 90.00
loop_
_atom_site_label
_atom_site_type_symbol
_atom_site_fract_x
_atom_site_fract_y
_atom_site_fract_z
_atom_site_occupancy
Li1 Li 0.106 0.250 0.000 1
Li2 Li 0.106 0.250 0.500 1
Li3 Li 0.894 0.750 0.000 1
Li4 Li 0.894 0.750 0.500 1
Th1 Th 0.316 0.508 0.250 1
Th2 Th 0.316 0.992 0.750 1
Th3 Th 0.684 0.008 0.250 1
Th4 Th 0.684 0.492 0.750 1
Bi1 Bi 0.074 0.675 0.250 1
Bi2 Bi 0.074 0.825 0.750 1
Bi3 Bi 0.254 0.004 0.250 1
Bi4 Bi 0.254 0.496 0.750 1
Bi5 Bi 0.498 0.250 0.000 1
Bi6 Bi 0.498 0.250 0.500 1
Bi7 Bi 0.502 0.750 0.000 1
Bi8 Bi 0.502 0.750 0.500 1
Bi9 Bi 0.746 0.504 0.250 1
Bi10 Bi 0.746 0.996 0.750 1
Bi11 Bi 0.926 0.175 0.250 1
Bi12 Bi 0.926 0.325 0.750 1
```



Record 4
An optimized crystal structure of LiThBi2. Source: Alexandria via LeMat-Bulk, functional PBE.

Values from the calculation:
magnetic moment	0.000	μB/f.u.
DFT formation energy	-0.53	eV per atom
DOS at the Fermi energy	7.2	states/eV/cell
space-group type	Pnma, No. 62
excess energy over the best structure of this formula in the dataset	0.0000	eV/atom
volume	448.4	Å³ per cell

The structure in CIF format:
```
data_LiThBi2
_chemical_formula_sum 'Li4 Th4 Bi8'
_symmetry_space_group_name_H-M 'P 1'
_symmetry_Int_Tables_number 1
_symmetry_space_group_name_Hall 'P 1'
_cell_length_a 21.720
_cell_length_b 4.544
_cell_length_c 4.544
_cell_angle_alpha 90.00
_cell_angle_beta 90.00
_cell_angle_gamma 90.00
loop_
_atom_site_label
_atom_site_type_symbol
_atom_site_fract_x
_atom_site_fract_y
_atom_site_fract_z
_atom_site_occupancy
Li1 Li 0.250 0.250 0.249 1
Li2 Li 0.250 0.750 0.749 1
Li3 Li 0.750 0.250 0.251 1
Li4 Li 0.750 0.750 0.751 1
Th1 Th 0.115 0.250 0.749 1
Th2 Th 0.385 0.750 0.249 1
Th3 Th 0.615 0.250 0.751 1
Th4 Th 0.885 0.750 0.251 1
Bi1 Bi 0.000 0.250 0.250 1
Bi2 Bi 0.000 0.750 0.750 1
Bi3 Bi 0.165 0.750 0.249 1
Bi4 Bi 0.335 0.250 0.749 1
Bi5 Bi 0.500 0.250 0.250 1
Bi6 Bi 0.500 0.750 0.750 1
Bi7 Bi 0.665 0.750 0.251 1
Bi8 Bi 0.835 0.250 0.751 1
```



Record 5
An optimized crystal structure of LiThBi2. Source: Alexandria via LeMat-Bulk, functional PBE.

Values from the calculation:
magnetic moment	0.000	μB/f.u.
DFT formation energy	-0.39	eV per atom
DOS at the Fermi energy	1.6	states/eV/cell
space-group type	P4/mmm, No. 123
excess energy over the best structure of this formula in the dataset	0.1424	eV/atom
volume	113.6	Å³ per cell

The structure in CIF format:
```
data_LiThBi2
_chemical_formula_sum 'Li1 Th1 Bi2'
_symmetry_space_group_name_H-M 'P 1'
_symmetry_Int_Tables_number 1
_symmetry_space_group_name_Hall 'P 1'
_cell_length_a 3.555
_cell_length_b 3.555
_cell_length_c 8.989
_cell_angle_alpha 90.00
_cell_angle_beta 90.00
_cell_angle_gamma 90.00
loop_
_atom_site_label
_atom_site_type_symbol
_atom_site_fract_x
_atom_site_fract_y
_atom_site_fract_z
_atom_site_occupancy
Li1 Li 0.000 0.000 0.000 1
Th1 Th 0.000 0.000 0.500 1
Bi1 Bi 0.500 0.500 0.231 1
Bi2 Bi 0.500 0.500 0.769 1
```



Record 6
An optimized crystal structure of LiThBi2. Source: Alexandria via LeMat-Bulk, functional PBE.

Values from the calculation:
magnetic moment	0.000	μB/f.u.
DFT formation energy	-0.40	eV per atom
DOS at the Fermi energy	6.2	states/eV/cell
space-group type	P2/c, No. 13
excess energy over the best structure of this formula in the dataset	0.1255	eV/atom
volume	479.4	Å³ per cell

The structure in CIF format:
```
data_LiThBi2
_chemical_formula_sum 'Li4 Th4 Bi8'
_symmetry_space_group_name_H-M 'P 1'
_symmetry_Int_Tables_number 1
_symmetry_space_group_name_Hall 'P 1'
_cell_length_a 6.504
_cell_length_b 6.290
_cell_length_c 11.942
_cell_angle_alpha 90.00
_cell_angle_beta 101.11
_cell_angle_gamma 90.00
loop_
_atom_site_label
_atom_site_type_symbol
_atom_site_fract_x
_atom_site_fract_y
_atom_site_fract_z
_atom_site_occupancy
Li1 Li 0.079 0.163 0.135 1
Li2 Li 0.079 0.837 0.635 1
Li3 Li 0.921 0.163 0.365 1
Li4 Li 0.921 0.837 0.865 1
Th1 Th 0.281 0.354 0.891 1
Th2 Th 0.281 0.646 0.391 1
Th3 Th 0.719 0.354 0.609 1
Th4 Th 0.719 0.646 0.109 1
Bi1 Bi 0.208 0.335 0.612 1
Bi2 Bi 0.208 0.665 0.112 1
Bi3 Bi 0.407 0.151 0.361 1
Bi4 Bi 0.407 0.849 0.861 1
Bi5 Bi 0.593 0.151 0.139 1
Bi6 Bi 0.593 0.849 0.639 1
Bi7 Bi 0.792 0.335 0.888 1
Bi8 Bi 0.792 0.665 0.388 1
```



Record 7
An optimized crystal structure of LiThBi2. Source: Alexandria via LeMat-Bulk, functional PBE.

Values from the calculation:
magnetic moment	0.000	μB/f.u.
DFT formation energy	-0.36	eV per atom
DOS at the Fermi energy	3.0	states/eV/cell
space-group type	Fm-3m, No. 225
excess energy over the best structure of this formula in the dataset	0.1674	eV/atom
volume	115.6	Å³ per cell

The structure in CIF format:
```
data_LiThBi2
_chemical_formula_sum 'Li1 Th1 Bi2'
_symmetry_space_group_name_H-M 'P 1'
_symmetry_Int_Tables_number 1
_symmetry_space_group_name_Hall 'P 1'
_cell_length_a 5.469
_cell_length_b 5.469
_cell_length_c 5.469
_cell_angle_alpha 60.00
_cell_angle_beta 60.00
_cell_angle_gamma 60.00
loop_
_atom_site_label
_atom_site_type_symbol
_atom_site_fract_x
_atom_site_fract_y
_atom_site_fract_z
_atom_site_occupancy
Li1 Li 0.000 0.000 0.000 1
Th1 Th 0.500 0.500 0.500 1
Bi1 Bi 0.250 0.250 0.250 1
Bi2 Bi 0.750 0.750 0.750 1
```



Record 8
An optimized crystal structure of LiThBi2. Source: Alexandria via LeMat-Bulk, functional PBE.

Values from the calculation:
magnetic moment	0.000	μB/f.u.
DFT formation energy	-0.32	eV per atom
DOS at the Fermi energy	3.6	states/eV/cell
space-group type	R-3m, No. 166
excess energy over the best structure of this formula in the dataset	0.2111	eV/atom
volume	112.4	Å³ per cell

The structure in CIF format:
```
data_LiThBi2
_chemical_formula_sum 'Li1 Th1 Bi2'
_symmetry_space_group_name_H-M 'P 1'
_symmetry_Int_Tables_number 1
_symmetry_space_group_name_Hall 'P 1'
_cell_length_a 10.255
_cell_length_b 10.255
_cell_length_c 10.255
_cell_angle_alpha 20.19
_cell_angle_beta 20.19
_cell_angle_gamma 20.19
loop_
_atom_site_label
_atom_site_type_symbol
_atom_site_fract_x
_atom_site_fract_y
_atom_site_fract_z
_atom_site_occupancy
Li1 Li 0.000 0.000 0.000 1
Th1 Th 0.500 0.500 0.500 1
Bi1 Bi 0.258 0.258 0.258 1
Bi2 Bi 0.742 0.742 0.742 1
```



Record 9
An optimized crystal structure of LiThBi2. Source: Alexandria via LeMat-Bulk, functional PBE.

Values from the calculation:
magnetic moment	0.000	μB/f.u.
DFT formation energy	-0.46	eV per atom
DOS at the Fermi energy	2.5	states/eV/cell
space-group type	P4/mmm, No. 123
excess energy over the best structure of this formula in the dataset	0.0738	eV/atom
volume	113.7	Å³ per cell

The structure in CIF format:
```
data_LiThBi2
_chemical_formula_sum 'Li1 Th1 Bi2'
_symmetry_space_group_name_H-M 'P 1'
_symmetry_Int_Tables_number 1
_symmetry_space_group_name_Hall 'P 1'
_cell_length_a 5.208
_cell_length_b 5.208
_cell_length_c 4.193
_cell_angle_alpha 90.00
_cell_angle_beta 90.00
_cell_angle_gamma 90.00
loop_
_atom_site_label
_atom_site_type_symbol
_atom_site_fract_x
_atom_site_fract_y
_atom_site_fract_z
_atom_site_occupancy
Li1 Li 0.000 0.000 0.000 1
Th1 Th 0.500 0.500 0.000 1
Bi1 Bi 0.000 0.500 0.500 1
Bi2 Bi 0.500 0.000 0.500 1
```



Record 10
An optimized crystal structure of LiTiBi. Source: Alexandria via LeMat-Bulk, functional PBE.

Values from the calculation:
magnetic moment	0.000	μB/f.u.
DFT formation energy	-0.20	eV per atom
DOS at the Fermi energy	1.9	states/eV/cell
space-group type	I4/mmm, No. 139
excess energy over the best structure of this formula in the dataset	0.0634	eV/atom
volume	142.1	Å³ per cell

The structure in CIF format:
```
data_LiTiBi
_chemical_formula_sum 'Li2 Ti2 Bi2'
_symmetry_space_group_name_H-M 'P 1'
_symmetry_Int_Tables_number 1
_symmetry_space_group_name_Hall 'P 1'
_cell_length_a 11.243
_cell_length_b 11.243
_cell_length_c 11.243
_cell_angle_alpha 161.56
_cell_angle_beta 161.56
_cell_angle_gamma 26.19
loop_
_atom_site_label
_atom_site_type_symbol
_atom_site_fract_x
_atom_site_fract_y
_atom_site_fract_z
_atom_site_occupancy
Li1 Li 0.073 0.073 0.000 1
Li2 Li 0.927 0.927 0.000 1
Ti1 Ti 0.219 0.219 0.000 1
Ti2 Ti 0.781 0.781 0.000 1
Bi1 Bi 0.353 0.353 0.000 1
Bi2 Bi 0.647 0.647 0.000 1
```



Record 11
An optimized crystal structure of LiTi3Bi. Source: Alexandria via LeMat-Bulk, functional PBE.

Values from the calculation:
magnetic moment	0.000	μB/f.u.
DFT formation energy	0.53	eV per atom
DOS at the Fermi energy	6.7	states/eV/cell
space-group type	Pm-3m, No. 221
excess energy over the best structure of this formula in the dataset	0.0000	eV/atom
volume	92.2	Å³ per cell

The structure in CIF format:
```
data_LiTi3Bi
_chemical_formula_sum 'Li1 Ti3 Bi1'
_symmetry_space_group_name_H-M 'P 1'
_symmetry_Int_Tables_number 1
_symmetry_space_group_name_Hall 'P 1'
_cell_length_a 4.518
_cell_length_b 4.518
_cell_length_c 4.518
_cell_angle_alpha 90.00
_cell_angle_beta 90.00
_cell_angle_gamma 90.00
loop_
_atom_site_label
_atom_site_type_symbol
_atom_site_fract_x
_atom_site_fract_y
_atom_site_fract_z
_atom_site_occupancy
Li1 Li 0.000 0.000 0.000 1
Ti1 Ti 0.000 0.000 0.500 1
Ti2 Ti 0.000 0.500 0.000 1
Ti3 Ti 0.500 0.000 0.000 1
Bi1 Bi 0.500 0.500 0.500 1
```



Record 12
An optimized crystal structure of LiTi3Bi. Source: Alexandria via LeMat-Bulk, functional PBE.

Values from the calculation:
magnetic moment	2.004	μB/f.u.
DFT formation energy	1.16	eV per atom
DOS at the Fermi energy	8.8	states/eV/cell
space-group type	Pm-3m, No. 221
excess energy over the best structure of this formula in the dataset	0.6254	eV/atom
volume	144.9	Å³ per cell

The structure in CIF format:
```
data_LiTi3Bi
_chemical_formula_sum 'Li1 Ti3 Bi1'
_symmetry_space_group_name_H-M 'P 1'
_symmetry_Int_Tables_number 1
_symmetry_space_group_name_Hall 'P 1'
_cell_length_a 5.253
_cell_length_b 5.253
_cell_length_c 5.253
_cell_angle_alpha 90.00
_cell_angle_beta 90.00
_cell_angle_gamma 90.00
loop_
_atom_site_label
_atom_site_type_symbol
_atom_site_fract_x
_atom_site_fract_y
_atom_site_fract_z
_atom_site_occupancy
Li1 Li 0.000 0.000 0.000 1
Ti1 Ti 0.000 0.500 0.500 1
Ti2 Ti 0.500 0.000 0.500 1
Ti3 Ti 0.500 0.500 0.000 1
Bi1 Bi 0.500 0.500 0.500 1
```



Q: Among the records above, which one has the highest volume?
A: LiThBi3



Repeat the seventh record exactly.
An optimized crystal structure of LiThBi2. Source: Alexandria via LeMat-Bulk, functional PBE.

Values from the calculation:
magnetic moment	0.000	μB/f.u.
DFT formation energy	-0.36	eV per atom
DOS at the Fermi energy	3.0	states/eV/cell
space-group type	Fm-3m, No. 225
excess energy over the best structure of this formula in the dataset	0.1674	eV/atom
volume	115.6	Å³ per cell

The structure in CIF format:
```
data_LiThBi2
_chemical_formula_sum 'Li1 Th1 Bi2'
_symmetry_space_group_name_H-M 'P 1'
_symmetry_Int_Tables_number 1
_symmetry_space_group_name_Hall 'P 1'
_cell_length_a 5.469
_cell_length_b 5.469
_cell_length_c 5.469
_cell_angle_alpha 60.00
_cell_angle_beta 60.00
_cell_angle_gamma 60.00
loop_
_atom_site_label
_atom_site_type_symbol
_atom_site_fract_x
_atom_site_fract_y
_atom_site_fract_z
_atom_site_occupancy
Li1 Li 0.000 0.000 0.000 1
Th1 Th 0.500 0.500 0.500 1
Bi1 Bi 0.250 0.250 0.250 1
Bi2 Bi 0.750 0.750 0.750 1
```



Q: volume of number 4 (LiThBi2)?
A: 448.4 Å³ per cell



Q: Look up the magnetic moment of the seventh one.
A: 0.000 μB/f.u.